SrCd3O | PBE | optimized geometry

Cell: 6.6173 6.6173 6.6173 Å, 90.00 90.00 90.00°
Fractional coordinates of all 5 atoms:
Sr: 0.0000 0.0000 0.0000
Cd: 0.0000 0.0000 0.5000
Cd: 0.0000 0.5000 0.0000
Cd: 0.5000 0.0000 0.0000
O: 0.5000 0.5000 0.5000

Properties
Calculated volume = 290 Å³ per cell
Total magnetic moment = 0.000 Bohr magnetons per cell
ΔE_f (raw) = 4.68 eV per formula unit
Distance to the lowest polymorph of the same formula = 5.50 eV/f.u.